# 1
# PBE-GGA LaHo6Sc2, optimized geometry
data_LaHo6Sc2
_cell_length_a 12.120
_cell_length_b 14.456
_cell_length_c 6.413
_cell_angle_alpha 90.00
_cell_angle_beta 102.01
_cell_angle_gamma 90.00
_space_group_name_H-M_alt 'C 1 2/c 1'
_space_group_IT_number 15
_space_group_name_Hall '-C 2yc'
loop_
_atom_site_label
_atom_site_type_symbol
_atom_site_fract_x
_atom_site_fract_y
_atom_site_fract_z
_atom_site_occupancy
La1 La 0.000 0.094 0.250 1
Ho1 Ho 0.050 0.312 0.019 1
Ho2 Ho 0.158 0.104 0.808 1
Ho3 Ho 0.236 0.323 0.688 1
Sc1 Sc 0.127 0.487 0.360 1
# **Calculated density**: 7.4 g cm⁻³
# **DOS at the Fermi energy**: 1.5479 states/eV per atom
# **DFT formation energy**: 10.6 kJ per mole of atoms
# **E_tot**: -4.8962 eV/atom
# **Crystal system**: monoclinic


# 2
# PBE-GGA Zr2BeZnCo2, optimized geometry
data_Zr2BeZnCo2
_cell_length_a 5.090
_cell_length_b 13.707
_cell_length_c 5.079
_cell_angle_alpha 90.00
_cell_angle_beta 90.00
_cell_angle_gamma 90.00
_space_group_name_H-M_alt 'I b a m'
_space_group_IT_number 72
_space_group_name_Hall '-I 2 2c'
loop_
_atom_site_label
_atom_site_type_symbol
_atom_site_fract_x
_atom_site_fract_y
_atom_site_fract_z
_atom_site_occupancy
Zr1 Zr 0.227 0.171 0.000 1
Be1 Be 0.000 0.500 0.250 1
Zn1 Zn 0.000 0.000 0.250 1
Co1 Co 0.210 0.375 0.000 1
# **Calculated density**: 7.0 g cm⁻³
# **DOS at the Fermi energy**: 0.6820 states/eV per atom
# **DFT formation energy**: -25.0 kJ per mole of atoms
# **E_tot**: -6.3109 eV/atom
# **Crystal system**: orthorhombic


# 3
# PBE-GGA NdLuZrIn, optimized geometry
data_NdLuZrIn
_cell_length_a 7.494
_cell_length_b 7.494
_cell_length_c 7.494
_cell_angle_alpha 90.00
_cell_angle_beta 90.00
_cell_angle_gamma 90.00
_space_group_name_H-M_alt 'F -4 3 m'
_space_group_IT_number 216
_space_group_name_Hall 'F -4 2 3'
loop_
_atom_site_label
_atom_site_type_symbol
_atom_site_fract_x
_atom_site_fract_y
_atom_site_fract_z
_atom_site_occupancy
Nd1 Nd 0.000 0.000 0.000 1
Lu1 Lu 0.250 0.250 0.750 1
Zr1 Zr 0.000 0.000 0.500 1
In1 In 0.250 0.250 0.250 1
# **Calculated density**: 8.3 g cm⁻³
# **DOS at the Fermi energy**: 1.5770 states/eV per atom
# **DFT formation energy**: -5.6 kJ per mole of atoms
# **E_tot**: -5.2022 eV/atom
# **Crystal system**: cubic


# 4
# PBE-GGA TaCoRe2, optimized geometry
data_TaCoRe2
_cell_length_a 2.692
_cell_length_b 4.315
_cell_length_c 5.193
_cell_angle_alpha 90.00
_cell_angle_beta 101.07
_cell_angle_gamma 90.00
_space_group_name_H-M_alt 'P 1 m 1'
_space_group_IT_number 6
_space_group_name_Hall 'P -2y'
loop_
_atom_site_label
_atom_site_type_symbol
_atom_site_fract_x
_atom_site_fract_y
_atom_site_fract_z
_atom_site_occupancy
Ta1 Ta 0.000 0.000 0.000 1
Co1 Co 0.891 0.500 0.231 1
Re1 Re 0.239 0.500 0.728 1
Re2 Re 0.512 0.000 0.491 1
# **Calculated density**: 17.2 g cm⁻³
# **DOS at the Fermi energy**: 1.0700 states/eV per atom
# **DFT formation energy**: 4.6 kJ per mole of atoms
# **E_tot**: -10.9163 eV/atom
# **Crystal system**: monoclinic


# 5
# PBE-GGA LaPrSbS, optimized geometry
data_LaPrSbS
_cell_length_a 5.1490
_cell_length_b 5.1490
_cell_length_c 33.7459
_cell_angle_alpha 90.00
_cell_angle_beta 90.00
_cell_angle_gamma 120.00
_space_group_name_H-M_alt 'R -3 m'
_space_group_IT_number 166
_space_group_name_Hall '-R 3 2"'
loop_
_atom_site_label
_atom_site_type_symbol
_atom_site_fract_x
_atom_site_fract_y
_atom_site_fract_z
_atom_site_occupancy
La1 La 0.0000 0.0000 0.2061 1
Pr1 Pr 0.0000 0.0000 0.3776 1
Sb1 Sb 0.0000 0.0000 0.1027 1
S1 S 0.0000 0.0000 0.2954 1
# **Calculated density**: 5.6 g cm⁻³
# **DOS at the Fermi energy**: 0.9073 states/eV per atom
# **E_tot**: -5.8315 eV/atom
# **Crystal system**: trigonal
# **Energy relative to the elements, uncorrected**: -1.34 eV per atom


# 6
# PBE-GGA LaPr2TmBi5, optimized geometry
data_LaPr2TmBi5
_cell_length_a 5.385
_cell_length_b 5.385
_cell_length_c 12.227
_cell_angle_alpha 90.00
_cell_angle_beta 90.00
_cell_angle_gamma 90.00
_space_group_name_H-M_alt 'P 4/m m m'
_space_group_IT_number 123
_space_group_name_Hall '-P 4 2'
loop_
_atom_site_label
_atom_site_type_symbol
_atom_site_fract_x
_atom_site_fract_y
_atom_site_fract_z
_atom_site_occupancy
La1 La 0.000 0.000 0.000 1
Pr1 Pr 0.500 0.500 0.271 1
Tm1 Tm 0.000 0.000 0.500 1
Bi1 Bi 0.000 0.000 0.252 1
Bi2 Bi 0.000 0.500 0.500 1
Bi3 Bi 0.500 0.500 0.000 1
# **Calculated density**: 7.7 g cm⁻³
# **DOS at the Fermi energy**: 0.8127 states/eV per atom
# **DFT formation energy**: -23.8 kJ per mole of atoms
# **E_tot**: -4.5097 eV/atom
# **Crystal system**: tetragonal


# 7
# PBE-GGA Mn2Co2Au, optimized geometry
data_Mn2Co2Au
_cell_length_a 6.904
_cell_length_b 6.904
_cell_length_c 2.571
_cell_angle_alpha 90.00
_cell_angle_beta 90.00
_cell_angle_gamma 90.00
_space_group_name_H-M_alt 'P 4/m b m'
_space_group_IT_number 127
_space_group_name_Hall '-P 4 2ab'
loop_
_atom_site_label
_atom_site_type_symbol
_atom_site_fract_x
_atom_site_fract_y
_atom_site_fract_z
_atom_site_occupancy
Mn1 Mn 0.115 0.385 0.000 1
Co1 Co 0.170 0.670 0.500 1
Au1 Au 0.000 0.000 0.000 1
# **Calculated density**: 11.5 g cm⁻³
# **DOS at the Fermi energy**: 1.3074 states/eV per atom
# **DFT formation energy**: 29.7 kJ per mole of atoms
# **E_tot**: -6.8578 eV/atom
# **Crystal system**: tetragonal


# 8
# PBE-GGA PuInPd4, optimized geometry
data_PuInPd4
_cell_length_a 4.205
_cell_length_b 12.823
_cell_length_c 8.084
_cell_angle_alpha 90.00
_cell_angle_beta 90.00
_cell_angle_gamma 90.00
_space_group_name_H-M_alt 'C m c m'
_space_group_IT_number 63
_space_group_name_Hall '-C 2c 2'
loop_
_atom_site_label
_atom_site_type_symbol
_atom_site_fract_x
_atom_site_fract_y
_atom_site_fract_z
_atom_site_occupancy
Pu1 Pu 0.000 0.156 0.250 1
In1 In 0.000 0.151 0.750 1
Pd1 Pd 0.000 0.000 0.000 1
Pd2 Pd 0.000 0.336 0.004 1
Pd3 Pd 0.000 0.500 0.250 1
# **Calculated density**: 12.0 g cm⁻³
# **DOS at the Fermi energy**: 2.6297 states/eV per atom
# **DFT formation energy**: -47.4 kJ per mole of atoms
# **E_tot**: -6.7980 eV/atom
# **Crystal system**: orthorhombic


# 9
# PBE-GGA Ta2BeAu, optimized geometry
data_Ta2BeAu
_cell_length_a 2.876
_cell_length_b 3.927
_cell_length_c 5.663
_cell_angle_alpha 90.00
_cell_angle_beta 90.00
_cell_angle_gamma 90.00
_space_group_name_H-M_alt 'P m m m'
_space_group_IT_number 47
_space_group_name_Hall '-P 2 2'
loop_
_atom_site_label
_atom_site_type_symbol
_atom_site_fract_x
_atom_site_fract_y
_atom_site_fract_z
_atom_site_occupancy
Ta1 Ta 0.000 0.000 0.235 1
Be1 Be 0.500 0.500 0.000 1
Au1 Au 0.500 0.500 0.500 1
# **Calculated density**: 14.7 g cm⁻³
# **DOS at the Fermi energy**: 0.5838 states/eV per atom
# **DFT formation energy**: 5.2 kJ per mole of atoms
# **E_tot**: -7.6237 eV/atom
# **Crystal system**: orthorhombic


# 10
# PBE-GGA KPt2I, optimized geometry
data_KPt2I
_cell_length_a 5.486
_cell_length_b 5.486
_cell_length_c 17.535
_cell_angle_alpha 90.00
_cell_angle_beta 90.00
_cell_angle_gamma 90.00
_space_group_name_H-M_alt 'I 41/a m d'
_space_group_IT_number 141
loop_
_space_group_symop_operation_xyz
'x,y,z'
'-x,-y,-z'
'-y+1/4,x+3/4,z+1/4'
'y+1/4,-x+3/4,-z+1/4'
'-x+1/2,-y,z+1/2'
'x+1/2,y,-z+1/2'
'y+1/4,-x+1/4,z+3/4'
'-y+1/4,x+1/4,-z+3/4'
'x,-y,-z'
'-x,y,z'
'-y+1/4,-x+1/4,-z+3/4'
'y+1/4,x+1/4,z+3/4'
'-x+1/2,y,-z+1/2'
'x+1/2,-y,z+1/2'
'y+1/4,x+3/4,-z+1/4'
'-y+1/4,-x+3/4,z+1/4'
'x+1/2,y+1/2,z+1/2'
'-x+1/2,-y+1/2,-z+1/2'
'-y+3/4,x+1/4,z+3/4'
'y+3/4,-x+1/4,-z+3/4'
'-x,-y+1/2,z'
'x,y+1/2,-z'
'y+3/4,-x+3/4,z+1/4'
'-y+3/4,x+3/4,-z+1/4'
'x+1/2,-y+1/2,-z+1/2'
'-x+1/2,y+1/2,z+1/2'
'-y+3/4,-x+3/4,-z+1/4'
'y+3/4,x+3/4,z+1/4'
'-x,y+1/2,-z'
'x,-y+1/2,z'
'y+3/4,x+1/4,-z+3/4'
'-y+3/4,-x+1/4,z+3/4'
loop_
_atom_site_label
_atom_site_type_symbol
_atom_site_fract_x
_atom_site_fract_y
_atom_site_fract_z
_atom_site_occupancy
K1 K 0.000 0.250 0.375 1
Pt1 Pt 0.000 0.000 0.000 1
I1 I 0.000 0.250 0.875 1
# **Calculated density**: 7.0 g cm⁻³
# **DOS at the Fermi energy**: 0.4571 states/eV per atom
# **E_tot**: -3.6401 eV/atom
# **Crystal system**: tetragonal
# **Energy relative to the elements, uncorrected**: 0.04 eV per atom


# 11
# PBE-GGA CuSiTe2, optimized geometry
data_CuSiTe2
_cell_length_a 3.486
_cell_length_b 3.486
_cell_length_c 7.008
_cell_angle_alpha 90.00
_cell_angle_beta 90.00
_cell_angle_gamma 90.00
_space_group_name_H-M_alt 'P 4/m m m'
_space_group_IT_number 123
_space_group_name_Hall '-P 4 2'
loop_
_atom_site_label
_atom_site_type_symbol
_atom_site_fract_x
_atom_site_fract_y
_atom_site_fract_z
_atom_site_occupancy
Cu1 Cu 0.000 0.000 0.000 1
Si1 Si 0.000 0.000 0.500 1
Te1 Te 0.500 0.500 0.240 1
# **Calculated density**: 6.8 g cm⁻³
# **DOS at the Fermi energy**: 0.6417 states/eV per atom
# **E_tot**: -3.4637 eV/atom
# **Crystal system**: tetragonal
# **Energy relative to the elements, uncorrected**: 0.49 eV per atom


# 12
# PBE-GGA TlB2IrAu, optimized geometry
data_TlB2IrAu
_cell_length_a 4.100
_cell_length_b 4.100
_cell_length_c 5.559
_cell_angle_alpha 90.00
_cell_angle_beta 90.00
_cell_angle_gamma 90.00
_space_group_name_H-M_alt 'P 4/m m m'
_space_group_IT_number 123
_space_group_name_Hall '-P 4 2'
loop_
_atom_site_label
_atom_site_type_symbol
_atom_site_fract_x
_atom_site_fract_y
_atom_site_fract_z
_atom_site_occupancy
Tl1 Tl 0.000 0.000 0.000 1
B1 B 0.000 0.500 0.500 1
Ir1 Ir 0.000 0.000 0.500 1
Au1 Au 0.500 0.500 0.000 1
# **Calculated density**: 10.9 g cm⁻³
# **DOS at the Fermi energy**: 0.3186 states/eV per atom
# **DFT formation energy**: 61.8 kJ per mole of atoms
# **E_tot**: -4.9310 eV/atom
# **Crystal system**: tetragonal